# MnNbGaAg2 PBE relaxed
# DFT formation energy	0.91	eV/atom
# VASP energy	-4.69	eV/atom
# spin magnetization	0.618	μB per atom
data_MnNbGaAg2
_chemical_formula_sum 'Mn1 Nb1 Ga1 Ag2'
_cell_length_a 4.709
_cell_length_b 4.709
_cell_length_c 4.948
_cell_angle_alpha 90.00
_cell_angle_beta 90.00
_cell_angle_gamma 90.00
_space_group_name_H-M_alt 'P 4/m m m'
_space_group_IT_number 123
_space_group_name_Hall '-P 4 2'
loop_
_atom_site_label
_atom_site_type_symbol
_atom_site_fract_x
_atom_site_fract_y
_atom_site_fract_z
Mn1 Mn 0.000 0.000 0.000
Nb1 Nb 0.500 0.500 0.000
Ga1 Ga 0.500 0.500 0.500
Ag1 Ag 0.000 0.500 0.500

=====

# La2SmHoIn2 PBE relaxed
# DFT formation energy	-0.36	eV/atom
# VASP energy	-4.46	eV/atom
# spin magnetization	0.000	μB per atom
data_La2SmHoIn2
_chemical_formula_sum 'La4 Sm2 Ho2 In4'
_cell_length_a 5.205
_cell_length_b 10.290
_cell_length_c 6.906
_cell_angle_alpha 90.00
_cell_angle_beta 90.00
_cell_angle_gamma 90.00
_space_group_name_H-M_alt 'P m c 21'
_space_group_IT_number 26
_space_group_name_Hall 'P 2c -2'
loop_
_atom_site_label
_atom_site_type_symbol
_atom_site_fract_x
_atom_site_fract_y
_atom_site_fract_z
La1 La 0.000 0.058 0.000
La2 La 0.500 0.179 0.229
Sm1 Sm 0.500 0.458 0.874
Ho1 Ho 0.000 0.310 0.595
In1 In 0.000 0.383 0.137
In2 In 0.500 0.149 0.713

=====

# Li2NdNi9 PBE relaxed
# DFT formation energy	-0.14	eV/atom
# VASP energy	-5.19	eV/atom
# spin magnetization	0.301	μB per atom
data_Li2NdNi9
_chemical_formula_sum 'Li4 Nd2 Ni18'
_cell_length_a 8.118
_cell_length_b 8.118
_cell_length_c 4.757
_cell_angle_alpha 90.00
_cell_angle_beta 90.00
_cell_angle_gamma 90.00
_space_group_name_H-M_alt 'P 4/m b m'
_space_group_IT_number 127
_space_group_name_Hall '-P 4 2ab'
loop_
_atom_site_label
_atom_site_type_symbol
_atom_site_fract_x
_atom_site_fract_y
_atom_site_fract_z
Li1 Li 0.113 0.387 0.000
Nd1 Nd 0.000 0.000 0.000
Ni1 Ni 0.000 0.500 0.500
Ni2 Ni 0.063 0.212 0.500
Ni3 Ni 0.180 0.680 0.245

=====

# TaNbTcNi2 PBE relaxed
# DFT formation energy	1.29	eV/atom
# VASP energy	-7.48	eV/atom
# spin magnetization	0.000	μB per atom
data_TaNbTcNi2
_chemical_formula_sum 'Ta1 Nb1 Tc1 Ni2'
_cell_length_a 4.417
_cell_length_b 4.417
_cell_length_c 4.692
_cell_angle_alpha 90.00
_cell_angle_beta 90.00
_cell_angle_gamma 90.00
_space_group_name_H-M_alt 'P 4/m m m'
_space_group_IT_number 123
_space_group_name_Hall '-P 4 2'
loop_
_atom_site_label
_atom_site_type_symbol
_atom_site_fract_x
_atom_site_fract_y
_atom_site_fract_z
Ta1 Ta 0.000 0.000 0.000
Nb1 Nb 0.500 0.500 0.000
Tc1 Tc 0.500 0.500 0.500
Ni1 Ni 0.000 0.500 0.500

=====

# NdScGaCo PBE relaxed
# DFT formation energy	-0.26	eV/atom
# VASP energy	-5.57	eV/atom
# spin magnetization	0.248	μB per atom
data_NdScGaCo
_chemical_formula_sum 'Nd4 Sc4 Ga4 Co4'
_cell_length_a 6.891
_cell_length_b 6.891
_cell_length_c 6.891
_cell_angle_alpha 90.00
_cell_angle_beta 90.00
_cell_angle_gamma 90.00
_space_group_name_H-M_alt 'F -4 3 m'
_space_group_IT_number 216
_space_group_name_Hall 'F -4 2 3'
loop_
_atom_site_label
_atom_site_type_symbol
_atom_site_fract_x
_atom_site_fract_y
_atom_site_fract_z
Nd1 Nd 0.000 0.000 0.000
Sc1 Sc 0.000 0.000 0.500
Ga1 Ga 0.250 0.250 0.250
Co1 Co 0.250 0.250 0.750

=====

# TeWI2N PBE relaxed
# excess energy over the best structure of this formula in the dataset	0.00	eV per formula unit
# E_form (uncorrected)	0.549	eV per atom
# VASP energy	-4.95	eV/atom
# spin magnetization	0.123	μB per atom
data_TeWI2N
_chemical_formula_sum 'Te1 W1 I2 N1'
_cell_length_a 5.682
_cell_length_b 5.682
_cell_length_c 3.866
_cell_angle_alpha 90.00
_cell_angle_beta 90.00
_cell_angle_gamma 90.00
_space_group_name_H-M_alt 'P 4/m m m'
_space_group_IT_number 123
_space_group_name_Hall '-P 4 2'
loop_
_atom_site_label
_atom_site_type_symbol
_atom_site_fract_x
_atom_site_fract_y
_atom_site_fract_z
Te1 Te 0.000 0.000 0.000
W1 W 0.500 0.500 0.500
I1 I 0.000 0.500 0.500
N1 N 0.500 0.500 0.000